The following is a DFT calculation (PBE) of crystalline FeTcSe2 at its relaxed geometry.

Results
Its offset from the most stable computed form is 2.15 eV per formula unit. Its space group is No. 225.

Cell and atoms, written as POSCAR:
```
FeTcSe2
1.0
0.000 3.072 3.072
3.072 0.000 3.072
3.072 3.072 0.000
Fe Tc Se
1 1 2
Cartesian
0.000 0.000 0.000
3.072 3.072 3.072
1.536 1.536 1.536
4.609 4.609 4.609
```

***

The following is a DFT calculation (PBE) of crystalline U2H at its relaxed geometry.

Results
As for the final energy: -8.466 eV per atom. Its space group is No. 139.

Cell and atoms, written as POSCAR:
```
U2H
1.0
-1.407 1.407 5.448
1.407 -1.407 5.448
1.407 1.407 -5.448
U H
2 1
Cartesian
0.000 0.000 1.424
0.000 0.000 9.472
0.000 0.000 5.448
```

***

The following is a DFT calculation (PBE) of crystalline Ta2SI at its relaxed geometry.

Results
Its offset from the most stable computed form is 0.61 eV per formula unit. Its space group is No. 225.

Cell and atoms, written as POSCAR:
```
Ta2SI
1.0
0.000 3.281 3.281
3.281 0.000 3.281
3.281 3.281 0.000
Ta S I
2 1 1
Cartesian
1.641 1.641 1.641
4.922 4.922 4.922
0.000 0.000 0.000
3.281 3.281 3.281
```

***

The following is a DFT calculation (PBE) of crystalline HoZrIn2 at its relaxed geometry.

Results
As for the energy of formation: -18.0 kJ per mole of atoms. Its space group is No. 166.

Cell and atoms, written as POSCAR:
```
HoZrIn2
1.0
1.711 0.988 10.024
-1.711 0.988 10.024
0.000 -1.976 10.024
Ho Zr In
1 1 2
Cartesian
0.000 0.000 0.000
0.000 0.000 15.036
0.000 0.000 7.437
0.000 0.000 22.634
```

***

The following is a DFT calculation (PBE) of crystalline MnTl2Cl at its relaxed geometry.

Results
Its offset from the most stable computed form is 0.77 eV per formula unit. Its space group is No. 47.

Cell and atoms, written as POSCAR:
```
MnTl2Cl
1.0
3.465 0.000 0.000
0.000 5.060 0.000
0.000 0.000 5.914
Mn Tl Cl
1 2 1
Cartesian
0.000 0.000 0.000
0.000 2.530 2.957
1.733 2.530 0.000
1.733 0.000 2.957
```

***

The following is a DFT calculation (PBE) of crystalline AlHg2As at its relaxed geometry.

Results
As for the energy of formation: 15.1 kJ per mole of atoms. Its offset from the most stable computed form is 0.75 eV per formula unit. Its space group is No. 65.

Cell and atoms, written as POSCAR:
```
AlHg2As
1.0
2.855 -2.896 0.000
2.855 2.896 0.000
0.000 0.000 5.414
Al Hg As
1 2 1
Cartesian
0.000 0.000 0.000
2.855 1.456 2.707
2.855 -1.456 2.707
2.855 0.000 0.000
```

***

The following is a DFT calculation (PBE) of crystalline La2RuBr at its relaxed geometry.

Results
Its offset from the most stable computed form is 0.44 eV per formula unit. Its space group is No. 123.

Cell and atoms, written as POSCAR:
```
La2RuBr
1.0
3.520 0.000 0.000
0.000 3.520 0.000
0.000 0.000 8.359
La Ru Br
2 1 1
Cartesian
0.000 0.000 1.764
0.000 0.000 6.595
1.760 1.760 0.000
1.760 1.760 4.180
```

***

The following is a DFT calculation (PBE) of crystalline Tb2Cu3Pd2 at its relaxed geometry.

Results
As for the energy of formation: -49.1 kJ per mole of atoms. Its space group is No. 12.

Cell and atoms, written as POSCAR:
```
Tb2Cu3Pd2
1.0
4.834 -2.166 0.000
4.834 2.166 0.000
-2.277 0.000 6.021
Tb Cu Pd
2 3 2
Cartesian
0.843 0.000 1.526
6.549 0.000 4.495
3.646 0.000 0.446
3.696 0.000 3.010
3.745 0.000 5.574
-0.252 0.000 4.261
7.643 0.000 1.759
```

***

The following is a DFT calculation (PBE) of crystalline Cs3K2 at its relaxed geometry.

Results
As for the energy of formation: 1.4 kJ per mole of atoms. Its space group is No. 43.

Cell and atoms, written as POSCAR:
```
Cs3K2
1.0
0.000 12.376 4.545
8.598 0.000 4.545
8.598 12.376 0.000
Cs K
6 4
Cartesian
0.000 0.000 0.000
4.299 6.188 2.272
8.012 9.818 4.500
9.184 14.934 4.500
13.483 16.006 6.772
12.311 21.122 6.772
8.878 5.037 4.206
12.616 11.225 6.478
8.317 19.715 4.206
4.579 13.527 6.478
```

***

The following is a DFT calculation (PBE) of crystalline Co2CuPb at its relaxed geometry.

Results
As for the energy of formation: 45.8 kJ per mole of atoms. Its space group is No. 216.

Cell and atoms, written as POSCAR:
```
Co2CuPb
1.0
0.000 3.072 3.072
3.072 0.000 3.072
3.072 3.072 0.000
Co Cu Pb
2 1 1
Cartesian
0.000 0.000 0.000
1.536 1.536 1.536
3.072 3.072 3.072
4.607 4.607 4.607
```

***

The following is a DFT calculation (PBE) of crystalline Ca2AgMo at its relaxed geometry.

Results
As for the energy of formation: 61.3 kJ per mole of atoms. Its offset from the most stable computed form is 0.86 eV per formula unit. Its space group is No. 216.

Cell and atoms, written as POSCAR:
```
Ca2AgMo
1.0
0.000 3.644 3.644
3.644 0.000 3.644
3.644 3.644 0.000
Ca Ag Mo
2 1 1
Cartesian
0.000 0.000 0.000
1.822 1.822 1.822
3.644 3.644 3.644
5.466 5.466 5.466
```

***

The following is a DFT calculation (PBE) of crystalline Mn3CuH at its relaxed geometry.

Results
Its offset from the most stable computed form is 5.87 eV per formula unit. Its space group is No. 221.

Cell and atoms, written as POSCAR:
```
Mn3CuH
1.0
4.660 0.000 0.000
0.000 4.660 0.000
0.000 0.000 4.660
Mn Cu H
3 1 1
Cartesian
0.000 0.000 2.330
0.000 2.330 0.000
2.330 0.000 0.000
0.000 0.000 0.000
2.330 2.330 2.330
```

***

The following is a DFT calculation (PBE) of crystalline CaSc2Ir at its relaxed geometry.

Results
As for the energy of formation: 1.1 kJ per mole of atoms. Its space group is No. 12.

Cell and atoms, written as POSCAR:
```
CaSc2Ir
1.0
3.013 -4.857 0.000
3.013 4.857 0.000
-1.244 0.000 2.877
Ca Sc Ir
1 2 1
Cartesian
0.000 0.000 0.000
0.885 2.428 1.439
0.885 -2.428 1.439
3.013 0.000 0.000
```

***

The following is a DFT calculation (PBE) of crystalline TcAg2Cl at its relaxed geometry.

Results
Its offset from the most stable computed form is 0.82 eV per formula unit. Its space group is No. 65.

Cell and atoms, written as POSCAR:
```
TcAg2Cl
1.0
1.516 -2.477 0.000
1.516 2.477 0.000
0.000 0.000 9.199
Tc Ag Cl
1 2 1
Cartesian
0.000 0.000 0.000
1.516 0.000 2.345
1.516 0.000 6.854
0.000 0.000 4.599
```

***

The following is a DFT calculation (PBE) of crystalline YTiSeN2 at its relaxed geometry.

Results
Its offset from the most stable computed form is 0.00 eV per formula unit. Its space group is No. 123.

Cell and atoms, written as POSCAR:
```
YTiSeN2
1.0
3.996 0.000 0.000
0.000 3.996 0.000
0.000 0.000 5.053
Y Ti Se N
1 1 1 2
Cartesian
0.000 0.000 0.000
1.998 1.998 2.527
1.998 1.998 0.000
0.000 1.998 2.527
1.998 0.000 2.527
```

***

The following is a DFT calculation (PBE) of crystalline ScInSeI2 at its relaxed geometry.

Results
As for the final energy: -3.984 eV per atom. Its space group is No. 123.

Cell and atoms, written as POSCAR:
```
ScInSeI2
1.0
5.923 0.000 0.000
0.000 5.923 0.000
0.000 0.000 5.078
Sc In Se I
1 1 1 2
Cartesian
0.000 0.000 0.000
2.961 2.961 2.539
0.000 0.000 2.539
0.000 2.961 0.000
2.961 0.000 0.000
```

***

The following is a DFT calculation (PBE) of crystalline U2NiP at its relaxed geometry.

Results
As for the energy of formation: 20.3 kJ per mole of atoms. Its space group is No. 166.

Cell and atoms, written as POSCAR:
```
U2NiP
1.0
1.587 0.916 8.820
-1.587 0.916 8.820
0.000 -1.833 8.820
U Ni P
2 1 1
Cartesian
0.000 0.000 2.477
0.000 0.000 23.985
0.000 0.000 0.000
0.000 0.000 13.231
```

***

The following is a DFT calculation (PBE) of crystalline ScGa2Ag4 at its relaxed geometry.

Results
As for the energy of formation: -13.2 kJ per mole of atoms. Its space group is No. 65.

Cell and atoms, written as POSCAR:
```
ScGa2Ag4
1.0
2.063 -7.925 0.000
2.063 7.925 0.000
0.000 0.000 3.997
Sc Ga Ag
1 2 4
Cartesian
0.000 0.000 0.000
2.063 1.195 1.999
2.063 -1.195 1.999
2.063 5.081 1.999
2.063 2.889 0.000
2.063 -2.889 0.000
2.063 -5.081 1.999
```

***

The following is a DFT calculation (PBE) of crystalline Nd4DyTm2 at its relaxed geometry.

Results
As for the energy of formation: 5.8 kJ per mole of atoms. Its offset from the most stable computed form is 0.00 eV per formula unit. Its space group is No. 43.

Cell and atoms, written as POSCAR:
```
Nd4DyTm2
1.0
0.000 12.131 3.228
5.986 0.000 3.228
5.986 12.131 0.000
Nd Dy Tm
8 2 4
Cartesian
6.609 1.711 3.228
3.616 4.354 1.614
2.370 7.777 1.614
5.153 8.643 3.425
9.812 14.708 5.039
6.819 15.619 3.425
5.363 22.550 3.228
8.146 21.684 5.039
5.986 12.131 3.195
8.979 18.196 4.809
3.290 0.818 1.971
6.283 5.247 3.586
2.696 11.312 1.971
5.689 19.015 3.586
```

***

The following is a DFT calculation (PBE) of crystalline ZrTc3P at its relaxed geometry.

Results
As for the energy of formation: -4.7 kJ per mole of atoms. Its offset from the most stable computed form is 0.00 eV per formula unit. Its space group is No. 221.

Cell and atoms, written as POSCAR:
```
ZrTc3P
1.0
4.397 0.000 0.000
0.000 4.397 0.000
0.000 0.000 4.397
Zr Tc P
1 3 1
Cartesian
0.000 0.000 0.000
0.000 2.199 2.199
2.199 0.000 2.199
2.199 2.199 0.000
2.199 2.199 2.199
```

***

The following is a DFT calculation (PBE) of crystalline CaLaTlSi at its relaxed geometry.

Results
As for the final energy: -4.042 eV per atom. Its space group is No. 216.

Cell and atoms, written as POSCAR:
```
CaLaTlSi
1.0
0.000 3.794 3.794
3.794 0.000 3.794
3.794 3.794 0.000
Ca La Tl Si
1 1 1 1
Cartesian
0.000 0.000 0.000
3.794 3.794 3.794
1.897 1.897 1.897
5.692 5.692 5.692
```

***

The following is a DFT calculation (PBE) of crystalline Ce2Zn16Ni at its relaxed geometry.

Results
As for the energy of formation: -21.7 kJ per mole of atoms. Its space group is No. 160.

Cell and atoms, written as POSCAR:
```
Ce2Zn16Ni
1.0
4.500 2.598 4.401
-4.500 2.598 4.401
0.000 -5.196 4.401
Ce Zn Ni
2 16 1
Cartesian
0.000 0.000 0.000
0.000 0.000 4.334
0.000 -2.533 2.333
-2.193 1.266 2.333
-2.189 -1.264 6.520
0.000 -2.614 6.337
-2.264 1.307 6.337
-1.294 -2.242 8.712
-2.588 0.000 8.712
2.193 1.266 2.332
2.189 -1.264 6.520
0.000 2.528 6.520
1.294 -2.242 8.712
-1.295 2.241 8.712
0.000 0.000 9.990
2.264 1.307 6.337
2.588 0.000 8.712
1.295 2.241 8.712
0.000 0.000 7.346
```

***

The following is a DFT calculation (PBE) of crystalline NdTl2Bi2 at its relaxed geometry.

Results
As for the energy of formation: -36.0 kJ per mole of atoms. Its space group is No. 63.

Cell and atoms, written as POSCAR:
```
NdTl2Bi2
1.0
2.335 -14.856 0.000
2.335 14.856 0.000
0.000 0.000 4.612
Nd Tl Bi
2 4 4
Cartesian
2.335 9.968 3.459
2.335 -9.968 1.153
2.335 13.269 1.153
2.335 1.544 1.153
2.335 -1.544 3.459
2.335 -13.269 3.459
2.335 7.420 1.153
2.335 4.120 3.459
2.335 -4.120 1.153
2.335 -7.420 3.459
```

***

The following is a DFT calculation (PBE) of crystalline Er4NiPd3 at its relaxed geometry.

Results
As for the energy of formation: -78.9 kJ per mole of atoms. Its space group is No. 25.

Cell and atoms, written as POSCAR:
```
Er4NiPd3
1.0
3.650 0.000 0.000
0.000 4.512 0.000
0.000 0.000 10.352
Er Ni Pd
4 1 3
Cartesian
0.000 0.000 0.000
0.000 2.256 2.770
1.825 0.000 5.027
1.825 2.256 7.970
1.825 0.000 2.204
0.000 0.000 7.440
0.000 2.256 5.631
1.825 2.256 0.517
```

***

The following is a DFT calculation (PBE) of crystalline Mn4Nb2Mo at its relaxed geometry.

Results
As for the energy of formation: 103.0 kJ per mole of atoms. Its space group is No. 139.

Cell and atoms, written as POSCAR:
```
Mn4Nb2Mo
1.0
-2.204 2.204 6.692
2.204 -2.204 6.692
2.204 2.204 -6.692
Mn Nb Mo
4 2 1
Cartesian
2.204 0.000 0.000
0.000 0.000 2.569
0.000 2.204 0.000
0.000 0.000 10.815
0.000 0.000 5.231
0.000 0.000 8.154
0.000 0.000 0.000
```

***

The following is a DFT calculation (PBE) of crystalline Ta2Nb6Ru at its relaxed geometry.

Results
As for the energy of formation: 18.1 kJ per mole of atoms. Its space group is No. 12.

Cell and atoms, written as POSCAR:
```
Ta2Nb6Ru
1.0
7.318 -1.371 0.000
7.318 1.371 0.000
-5.872 0.000 8.149
Ta Nb Ru
2 6 1
Cartesian
0.539 0.000 2.627
8.224 0.000 5.523
-1.591 0.000 4.522
-1.137 0.000 7.272
5.231 0.000 1.838
3.532 0.000 6.312
9.900 0.000 0.878
10.354 0.000 3.628
7.318 0.000 0.000
```

***

The following is a DFT calculation (PBE) of crystalline TbPrNd4Er2 at its relaxed geometry.

Results
As for the energy of formation: 1.6 kJ per mole of atoms. Its space group is No. 10.

Cell and atoms, written as POSCAR:
```
TbPrNd4Er2
1.0
6.274 0.000 0.000
0.000 3.640 0.000
-2.111 0.000 11.789
Tb Pr Nd Er
1 1 4 2
Cartesian
0.000 0.000 0.000
-1.055 1.820 5.894
1.046 1.820 2.940
-0.010 0.000 8.888
4.172 0.000 2.901
3.117 1.820 8.849
2.081 0.000 5.894
3.137 1.820 0.000
```